## NdSmZnRu (GGA-PBE)

Data for an optimized crystal structure of NdSmZnRu.

Cell and atoms, written as POSCAR:
```
NdSmZnRu
1.0
7.1467 0.0000 0.0000
0.0000 7.1467 0.0000
0.0000 0.0000 7.1467
Nd Sm Zn Ru
4 4 4 4
direct
0.0000 0.0000 0.0000
0.0000 0.5000 0.5000
0.5000 0.0000 0.5000
0.5000 0.5000 0.0000
0.0000 0.0000 0.5000
0.0000 0.5000 0.0000
0.5000 0.0000 0.0000
0.5000 0.5000 0.5000
0.2500 0.2500 0.7500
0.2500 0.7500 0.2500
0.7500 0.2500 0.2500
0.7500 0.7500 0.7500
0.2500 0.2500 0.2500
0.2500 0.7500 0.7500
0.7500 0.2500 0.7500
0.7500 0.7500 0.2500
```

Summary:
The volume comes out at 365.0 Å³ per cell. The space group is No. 216. The energy of formation from the pure elements is -0.238 eV/atom. For the electronic total energy, the calculation gives -5.25 eV/atom. The crystal system is cubic. For the energy above the most stable polymorph in this dataset, the calculation gives 15 meV/atom.